Record 1
# GGA-PBE TmPuH8Rh2, optimized geometry
# SG: No. 166
# calculated total energy: -62.8 eV for the cell shown
# crystal system: trigonal
data_TmPuH8Rh2
_cell_length_a 4.517
_cell_length_b 4.517
_cell_length_c 6.768
_cell_angle_alpha 70.51
_cell_angle_beta 70.51
_cell_angle_gamma 60.00
_space_group_name_H-M_alt 'P 1'
_space_group_IT_number 1
loop_
_space_group_symop_operation_xyz
'x,y,z'
loop_
_atom_site_label
_atom_site_type_symbol
_atom_site_fract_x
_atom_site_fract_y
_atom_site_fract_z
_atom_site_occupancy
Tm1 Tm 0.000 0.000 0.000 1
Pu1 Pu 0.500 0.500 0.500 1
H1 H 0.139 0.139 0.583 1
H2 H 0.465 0.465 0.161 1
H3 H 0.861 0.861 0.417 1
H4 H 0.908 0.465 0.161 1
H5 H 0.092 0.535 0.839 1
H6 H 0.465 0.908 0.161 1
H7 H 0.535 0.092 0.839 1
H8 H 0.535 0.535 0.839 1
Rh1 Rh 0.234 0.234 0.299 1
Rh2 Rh 0.766 0.766 0.701 1


Record 2
# GGA-PBE CaTbTlCd, optimized geometry
# SG: No. 216
# formation energy from the elements: -0.387 eV/atom
# crystal system: cubic
data_CaTbTlCd
_cell_length_a 5.390
_cell_length_b 5.390
_cell_length_c 5.390
_cell_angle_alpha 60.00
_cell_angle_beta 60.00
_cell_angle_gamma 60.00
_space_group_name_H-M_alt 'P 1'
_space_group_IT_number 1
loop_
_space_group_symop_operation_xyz
'x,y,z'
loop_
_atom_site_label
_atom_site_type_symbol
_atom_site_fract_x
_atom_site_fract_y
_atom_site_fract_z
_atom_site_occupancy
Tl1 Tl 0.250 0.250 0.250 1
Tb1 Tb 0.500 0.500 0.500 1
Ca1 Ca 0.000 0.000 0.000 1
Cd1 Cd 0.750 0.750 0.750 1


Record 3
# GGA-PBE Tb4AgOs, optimized geometry
# SG: No. 123
# excess energy over the best structure of this formula in the dataset: 129 meV per atom
# formation energy from the elements: -0.111 eV/atom
# crystal system: tetragonal
data_Tb4AgOs
_cell_length_a 4.880
_cell_length_b 4.881
_cell_length_c 7.126
_cell_angle_alpha 89.97
_cell_angle_beta 89.98
_cell_angle_gamma 90.00
_space_group_name_H-M_alt 'P 1'
_space_group_IT_number 1
loop_
_space_group_symop_operation_xyz
'x,y,z'
loop_
_atom_site_label
_atom_site_type_symbol
_atom_site_fract_x
_atom_site_fract_y
_atom_site_fract_z
_atom_site_occupancy
Tb1 Tb 0.501 0.997 0.268 1
Tb2 Tb 0.501 0.998 0.728 1
Tb3 Tb 0.001 0.498 0.728 1
Tb4 Tb 0.001 0.497 0.268 1
Ag1 Ag 0.501 0.497 0.998 1
Os1 Os 0.001 0.997 0.498 1


Record 4
# GGA-PBE BaCaMg2H8, optimized geometry
# SG: No. 147
# calculated total energy: -37.3 eV for the cell shown
# crystal system: trigonal
data_BaCaMg2H8
_cell_length_a 5.377
_cell_length_b 5.377
_cell_length_c 7.834
_cell_angle_alpha 90.00
_cell_angle_beta 90.00
_cell_angle_gamma 120.00
_space_group_name_H-M_alt 'P 1'
_space_group_IT_number 1
loop_
_space_group_symop_operation_xyz
'x,y,z'
loop_
_atom_site_label
_atom_site_type_symbol
_atom_site_fract_x
_atom_site_fract_y
_atom_site_fract_z
_atom_site_occupancy
Ba1 Ba 0.000 0.000 0.000 1
Ca1 Ca 0.000 0.000 0.500 1
Mg1 Mg 0.667 0.333 0.239 1
Mg2 Mg 0.333 0.667 0.761 1
H1 H 0.333 0.667 0.997 1
H2 H 0.308 0.252 0.299 1
H3 H 0.748 0.057 0.299 1
H4 H 0.667 0.333 0.003 1
H5 H 0.252 0.943 0.701 1
H6 H 0.692 0.748 0.701 1
H7 H 0.057 0.308 0.701 1
H8 H 0.943 0.692 0.299 1